Record 1
A geometry-optimized CaSmSe structure. Source: Alexandria via LeMat-Bulk, functional GGA-PBE.

For the total magnetization, the calculation gives 0.00 μB/cell. Its total energy is -27.47 eV/cell.

The space group is Pmmn (No. 59, origin choice 2) and the conventional cell measures 4.121, 4.131 and 11.329 Å, with angles of 90.00, 90.00 and 90.00 degrees. The inequivalent atoms are Ca at (0.250, 0.250, 0.112), Sm at (0.250, 0.250, 0.624) and Se at (0.250, 0.250, 0.367).



Record 2
A geometry-optimized Rb3ZrIr structure. Source: Alexandria via LeMat-Bulk, functional GGA-PBE.

For the total magnetization, the calculation gives 3.65 μB/cell. Its total energy is -12.55 eV/cell.

The space group is Pm-3m (No. 221) and the conventional cell measures 6.385, 6.385 and 6.385 Å, with angles of 90.00, 90.00 and 90.00 degrees. The inequivalent atoms are Rb at (0.000, 0.000, 0.500), Zr at (0.500, 0.500, 0.500) and Ir at (0.000, 0.000, 0.000).



Record 3
A geometry-optimized LaSc2Rh2 structure. Source: Alexandria via LeMat-Bulk, functional GGA-PBE.

For the total magnetization, the calculation gives 2.01 μB/cell. For the polymorph energy (0 for the lowest one), the calculation gives 0.162 eV/atom.

The space group is I4/mmm (No. 139) and the conventional cell measures 4.781, 4.781 and 10.213 Å, with angles of 90.00, 90.00 and 90.00 degrees. The inequivalent atoms are La at (0.000, 0.000, 0.000), Sc at (0.000, 0.000, 0.345) and Rh at (0.000, 0.500, 0.250).



Record 4
A geometry-optimized Pr2Nd2Hg3 structure. Source: Alexandria via LeMat-Bulk, functional GGA-PBE.

For the total magnetization, the calculation gives 1.29 μB/cell. Its total energy is -22.21 eV/cell.

The space group is P-1 (No. 2) and the conventional cell measures 5.402, 5.402 and 9.164 Å, with angles of 72.94, 73.10 and 60.06 degrees. The inequivalent atoms are Pr at (0.121, 0.120, 0.140), Nd at (0.374, 0.372, 0.383), Hg at (0.249, 0.250, 0.751) and Hg at (0.500, 0.500, 0.000).



Record 5
A geometry-optimized CdAs2Ru2 structure. Source: Alexandria via LeMat-Bulk, functional GGA-PBE.

For the total magnetization, the calculation gives 0.00 μB/cell. For the polymorph energy (0 for the lowest one), the calculation gives 0.037 eV/atom.

The space group is I4/mmm (No. 139) and the conventional cell measures 3.882, 3.882 and 11.684 Å, with angles of 90.00, 90.00 and 90.00 degrees. The inequivalent atoms are Cd at (0.000, 0.000, 0.000), As at (0.000, 0.500, 0.250) and Ru at (0.000, 0.000, 0.381).



Record 6
A geometry-optimized Rb3PmAs2O8 structure. Source: Alexandria via LeMat-Bulk, functional GGA-PBE.

For the total magnetization, the calculation gives 0.00 μB/cell. Its total energy is -84.38 eV/cell.

The space group is P-3m1 (No. 164) and the conventional cell measures 6.0873, 6.0873 and 8.1699 Å, with angles of 90.00, 90.00 and 120.00 degrees. The inequivalent atoms are Rb at (0.0000, 0.0000, 0.0000), Rb at (0.3333, 0.6667, 0.7184), Pm at (0.0000, 0.0000, 0.5000), As at (0.3333, 0.6667, 0.2556), O at (0.1797, 0.3593, 0.3330) and O at (0.3333, 0.6667, 0.0497).